# 1
The following is a PBE calculation of a relaxed structure of LiSb12Ru4, from the Alexandria database.

The value obtained for the calculated volume is 24.3 Å³/atom. Its space group is Im-3 (204). The calculation puts the magnetization at 0.0 μB per formula unit. The value obtained for the total energy is -0.396 Ry/atom. As for the mass density: 7.51 Mg/m³.

abc: 8.131 8.131 8.131
angles: 109.47 109.47 109.47
Atoms (fractional coordinates):
Li  0.000  0.000  0.000
Sb  0.157  0.340  0.497
Sb  0.157  0.660  0.817
Sb  0.183  0.843  0.340
Sb  0.340  0.183  0.843
Sb  0.340  0.497  0.157
Sb  0.497  0.157  0.340
Sb  0.503  0.843  0.660
Sb  0.660  0.503  0.843
Sb  0.660  0.817  0.157
Sb  0.817  0.157  0.660
Sb  0.843  0.340  0.183
Sb  0.843  0.660  0.503
Ru  0.000  0.000  0.500
Ru  0.000  0.500  0.000
Ru  0.500  0.000  0.000
Ru  0.500  0.500  0.500

***

# 2
The following is a PBE calculation of a relaxed structure of LiSb3Ru, from the Alexandria database.

The value obtained for the calculated volume is 22.3 Å³/atom. Its space group is Pm-3m (221). The calculation puts the magnetization at 0.0 μB per formula unit. The value obtained for the total energy is -0.284 Ry/atom. As for the mass density: 7.04 Mg/m³.

abc: 4.815 4.815 4.815
angles: 90.00 90.00 90.00
Atoms (fractional coordinates):
Li  0.000  0.000  0.000
Sb  0.000  0.000  0.500
Sb  0.000  0.500  0.000
Sb  0.500  0.000  0.000
Ru  0.500  0.500  0.500

***

# 3
The following is a PBE calculation of a relaxed structure of Li2SbRu, from the Alexandria database.

The value obtained for the calculated volume is 16.6 Å³/atom. Its space group is C2/m (12). The calculation puts the magnetization at 0.4 μB per formula unit. The value obtained for the total energy is -0.320 Ry/atom. As for the mass density: 5.93 Mg/m³.

abc: 5.371 5.371 3.056
angles: 102.74 102.74 122.28
Atoms (fractional coordinates):
Li  0.000  0.500  0.000
Li  0.500  0.000  0.000
Sb  0.000  0.000  0.500
Ru  0.500  0.500  0.500

***

# 4
The following is a PBE calculation of a relaxed structure of Li4SbRu, from the Alexandria database.

The value obtained for the calculated volume is 13.7 Å³/atom. Its space group is F-43m (216). The calculation puts the magnetization at 0.0 μB per formula unit. The value obtained for the total energy is -0.259 Ry/atom. As for the mass density: 5.07 Mg/m³.

abc: 4.877 4.877 4.877
angles: 60.00 60.00 60.00
Atoms (fractional coordinates):
Li  0.123  0.123  0.123
Li  0.123  0.123  0.632
Li  0.123  0.632  0.123
Li  0.632  0.123  0.123
Sb  0.500  0.500  0.500
Ru  0.750  0.750  0.750

***

# 5
The following is a PBE calculation of a relaxed structure of LiSb3Ru, from the Alexandria database.

The value obtained for the calculated volume is 27.8 Å³/atom. Its space group is Pm-3m (221). The calculation puts the magnetization at 0.0 μB per formula unit. The value obtained for the total energy is -0.326 Ry/atom. As for the mass density: 5.66 Mg/m³.

abc: 5.179 5.179 5.179
angles: 90.00 90.00 90.00
Atoms (fractional coordinates):
Li  0.000  0.000  0.000
Sb  0.000  0.500  0.500
Sb  0.500  0.000  0.500
Sb  0.500  0.500  0.000
Ru  0.500  0.500  0.500

***

# 6
The following is a PBE calculation of a relaxed structure of LiSbRu2, from the Alexandria database.

The value obtained for the calculated volume is 16.5 Å³/atom. Its space group is R-3m (166). The calculation puts the magnetization at 0.4 μB per formula unit. The value obtained for the total energy is -0.425 Ry/atom. As for the mass density: 8.31 Mg/m³.

abc: 8.160 8.160 8.160
angles: 21.87 21.87 21.87
Atoms (fractional coordinates):
Li  0.000  0.000  0.000
Sb  0.500  0.500  0.500
Ru  0.247  0.247  0.247
Ru  0.753  0.753  0.753

***

# 7
The following is a PBE calculation of a relaxed structure of Li2SbRu, from the Alexandria database.

The value obtained for the calculated volume is 15.8 Å³/atom. Its space group is Pmmm (47). The calculation puts the magnetization at 0.0 μB per formula unit. The value obtained for the total energy is -0.328 Ry/atom. As for the mass density: 6.20 Mg/m³.

abc: 3.308 4.257 4.500
angles: 90.00 90.00 90.00
Atoms (fractional coordinates):
Li  0.000  0.000  0.000
Li  0.500  0.500  0.000
Sb  0.000  0.500  0.500
Ru  0.500  0.000  0.500

***

# 8
The following is a PBE calculation of a relaxed structure of LiSbRu2, from the Alexandria database.

The value obtained for the calculated volume is 15.3 Å³/atom. Its space group is Cm (8). The calculation puts the magnetization at 0.0 μB per formula unit. The value obtained for the total energy is -0.449 Ry/atom. As for the mass density: 8.97 Mg/m³.

abc: 4.930 4.930 4.535
angles: 108.81 108.81 36.20
Atoms (fractional coordinates):
Li  0.000  0.000  0.000
Sb  0.233  0.233  0.650
Ru  0.482  0.482  0.491
Ru  0.748  0.748  0.146

***

# 9
The following is a PBE calculation of a relaxed structure of LiSbRu, from the Alexandria database.

The value obtained for the calculated volume is 17.5 Å³/atom. Its space group is P3m1 (156). The calculation puts the magnetization at 0.0 μB per formula unit. The value obtained for the total energy is -0.379 Ry/atom. As for the mass density: 7.26 Mg/m³.

abc: 4.401 4.401 3.134
angles: 90.00 90.00 120.00
Atoms (fractional coordinates):
Li  0.000  0.000  0.000
Sb  0.333  0.667  0.581
Ru  0.667  0.333  0.467

***

# 10
The following is a PBE calculation of a relaxed structure of LiSbRu2, from the Alexandria database.

The value obtained for the calculated volume is 15.2 Å³/atom. Its space group is I-4m2 (119). The calculation puts the magnetization at 1.7 μB per formula unit. The value obtained for the total energy is -0.450 Ry/atom. As for the mass density: 9.01 Mg/m³.

abc: 4.420 4.420 4.420
angles: 120.09 120.09 89.84
Atoms (fractional coordinates):
Li  0.000  0.000  0.000
Sb  0.750  0.250  0.500
Ru  0.250  0.750  0.500
Ru  0.500  0.500  0.000

***

# 11
The following is a PBE calculation of a relaxed structure of LiSbRu3, from the Alexandria database.

The value obtained for the calculated volume is 14.7 Å³/atom. Its space group is Pm-3m (221). The calculation puts the magnetization at 1.0 μB per formula unit. The value obtained for the total energy is -0.436 Ry/atom. As for the mass density: 9.73 Mg/m³.

abc: 4.193 4.193 4.193
angles: 90.00 90.00 90.00
Atoms (fractional coordinates):
Li  0.000  0.000  0.000
Sb  0.500  0.500  0.500
Ru  0.000  0.000  0.500
Ru  0.000  0.500  0.000
Ru  0.500  0.000  0.000

***

# 12
The following is a PBE calculation of a relaxed structure of LiSbRu2, from the Alexandria database.

The value obtained for the calculated volume is 16.9 Å³/atom. Its space group is I-42d (122). The calculation puts the magnetization at 0.0 μB per formula unit. The value obtained for the total energy is -0.415 Ry/atom. As for the mass density: 8.14 Mg/m³.

abc: 5.726 5.726 5.726
angles: 101.74 101.74 126.37
Atoms (fractional coordinates):
Li  0.000  0.000  0.000
Li  0.750  0.250  0.500
Sb  0.250  0.750  0.500
Sb  0.500  0.500  0.000
Ru  0.133  0.125  0.508
Ru  0.375  0.867  0.992
Ru  0.617  0.625  0.492
Ru  0.875  0.383  0.008

***

# 13
The following is a PBE calculation of a relaxed structure of LiSbRu, from the Alexandria database.

The value obtained for the calculated volume is 15.5 Å³/atom. Its space group is Fdd2 (43). The calculation puts the magnetization at 0.0 μB per formula unit. The value obtained for the total energy is -0.393 Ry/atom. As for the mass density: 8.21 Mg/m³.

abc: 6.237 4.823 5.213
angles: 76.73 48.83 54.44
Atoms (fractional coordinates):
Li  0.000  0.000  0.000
Li  0.250  0.250  0.250
Sb  0.337  0.337  0.663
Sb  0.587  0.587  0.913
Ru  0.675  0.675  0.325
Ru  0.925  0.925  0.575

***

# 14
The following is a PBE calculation of a relaxed structure of Li2SbRu, from the Alexandria database.

The value obtained for the calculated volume is 17.5 Å³/atom. Its space group is I-42d (122). The calculation puts the magnetization at 0.0 μB per formula unit. The value obtained for the total energy is -0.311 Ry/atom. As for the mass density: 5.62 Mg/m³.

abc: 10.091 10.091 10.091
angles: 158.33 158.33 30.83
Atoms (fractional coordinates):
Li  0.106  0.625  0.981
Li  0.375  0.356  0.481
Li  0.644  0.125  0.019
Li  0.875  0.894  0.519
Sb  0.250  0.750  0.500
Sb  0.500  0.500  0.000
Ru  0.000  0.000  0.000
Ru  0.750  0.250  0.500

***

# 15
The following is a PBE calculation of a relaxed structure of Li2SbRu, from the Alexandria database.

The value obtained for the calculated volume is 15.9 Å³/atom. Its space group is C2/m (12). The calculation puts the magnetization at 0.0 μB per formula unit. The value obtained for the total energy is -0.328 Ry/atom. As for the mass density: 6.19 Mg/m³.

abc: 5.296 5.296 4.265
angles: 113.43 113.43 35.74
Atoms (fractional coordinates):
Li  0.239  0.239  0.239
Li  0.761  0.761  0.761
Sb  0.000  0.000  0.500
Ru  0.500  0.500  0.000

***

# 16
The following is a PBE calculation of a relaxed structure of Li2Sb2Ru, from the Alexandria database.

The value obtained for the calculated volume is 20.1 Å³/atom. Its space group is P4/mbm (127). The calculation puts the magnetization at 0.0 μB per formula unit. The value obtained for the total energy is -0.332 Ry/atom. As for the mass density: 5.93 Mg/m³.

abc: 6.838 6.838 4.292
angles: 90.00 90.00 90.00
Atoms (fractional coordinates):
Li  0.165  0.335  0.000
Li  0.335  0.835  0.000
Li  0.665  0.165  0.000
Li  0.835  0.665  0.000
Sb  0.148  0.648  0.500
Sb  0.352  0.148  0.500
Sb  0.648  0.852  0.500
Sb  0.852  0.352  0.500
Ru  0.000  0.000  0.500
Ru  0.500  0.500  0.500

***

# 17
The following is a PBE calculation of a relaxed structure of Li2SbRu, from the Alexandria database.

The value obtained for the calculated volume is 16.5 Å³/atom. Its space group is P2/m (10). The calculation puts the magnetization at 0.0 μB per formula unit. The value obtained for the total energy is -0.321 Ry/atom. As for the mass density: 5.97 Mg/m³.

abc: 3.120 4.654 4.570
angles: 90.00 97.06 90.00
Atoms (fractional coordinates):
Li  0.240  0.000  0.273
Li  0.760  0.000  0.727
Sb  0.500  0.500  0.000
Ru  0.000  0.500  0.500

***

# 18
The following is a PBE calculation of a relaxed structure of LiSbRu2, from the Alexandria database.

The value obtained for the calculated volume is 15.6 Å³/atom. Its space group is P2/m (10). The calculation puts the magnetization at 0.0 μB per formula unit. The value obtained for the total energy is -0.439 Ry/atom. As for the mass density: 8.79 Mg/m³.

abc: 2.902 4.305 5.011
angles: 90.00 92.81 90.00
Atoms (fractional coordinates):
Li  0.000  0.000  0.000
Sb  0.500  0.000  0.500
Ru  0.272  0.500  0.775
Ru  0.728  0.500  0.225

***

# 19
The following is a PBE calculation of a relaxed structure of LiSbRu2, from the Alexandria database.

The value obtained for the calculated volume is 15.3 Å³/atom. Its space group is C2/m (12). The calculation puts the magnetization at 0.0 μB per formula unit. The value obtained for the total energy is -0.445 Ry/atom. As for the mass density: 8.99 Mg/m³.

abc: 4.486 4.486 4.922
angles: 103.56 103.56 39.57
Atoms (fractional coordinates):
Li  0.000  0.000  0.000
Sb  0.500  0.500  0.500
Ru  0.249  0.249  0.774
Ru  0.751  0.751  0.226

***

# 20
The following is a PBE calculation of a relaxed structure of LiSbRu, from the Alexandria database.

The value obtained for the calculated volume is 16.4 Å³/atom. Its space group is P1 (1). The calculation puts the magnetization at 0.0 μB per formula unit. The value obtained for the total energy is -0.392 Ry/atom. As for the mass density: 7.77 Mg/m³.

abc: 4.585 4.600 5.323
angles: 83.54 82.32 62.09
Atoms (fractional coordinates):
Li  0.000  0.000  0.000
Li  0.002  0.997  0.500
Sb  0.387  0.270  0.732
Sb  0.614  0.727  0.264
Ru  0.264  0.408  0.230
Ru  0.736  0.589  0.767